Cr2SiC2 | PBE | optimized geometry

Calculated values
total magnetization = 0.0 μB/f.u.
energy = -0.605 Ry/atom
energy relative to the elements, uncorrected = 0.3938 eV per atom
space-group type = I4/mmm

POSCAR file:
```
Cr2SiC2
1.0
-1.379 1.379 6.053
1.379 -1.379 6.053
1.379 1.379 -6.053
Cr Si C
2 1 2
direct
0.127 0.127 0.000
0.873 0.873 0.000
0.500 0.500 0.000
0.250 0.750 0.500
0.750 0.250 0.500
```


IrPtCl2 | PBE | optimized geometry

Calculated values
total magnetization = 0.0 μB/f.u.
energy = -0.291 Ry/atom
energy relative to the elements, uncorrected = 0.6922 eV per atom
space-group type = C2/m

POSCAR file:
```
IrPtCl2
1.0
2.885 -4.205 0.000
2.885 4.205 0.000
-1.498 0.000 2.731
Ir Pt Cl
1 1 2
direct
0.000 0.000 0.000
0.500 0.500 0.000
0.000 0.500 0.000
0.500 0.000 0.000
```


ScCr2Rh | PBE | optimized geometry

Calculated values
E_form = 0.209 eV per atom
total magnetization = 0.0 μB/f.u.
energy = -0.590 Ry/atom
space-group type = Pmmm

POSCAR file:
```
ScCr2Rh
1.0
2.694 0.000 0.000
0.000 4.377 0.000
0.000 0.000 4.923
Sc Cr Rh
1 2 1
direct
0.000 0.000 0.000
0.500 0.500 0.245
0.500 0.500 0.755
0.000 0.000 0.500
```


Number 1: E above lowest polymorph 0.00 kJ/mol of atoms, V 9.2 Å³ per atom. Number 2: E above lowest polymorph 65.46 kJ/mol of atoms, V 16.6 Å³ per atom. Number 3: E above lowest polymorph 35.08 kJ/mol of atoms, V 14.5 Å³ per atom.